(1)
VASP calculation (PBE) on a geometry-optimized Ce3Ga3Si structure.

Output
VASP energy: -5.175 eV per atom
SG: Imm2, No. 44

Cell lengths 9.783, 9.783, 9.783 Å; angles 155.68, 154.53, 35.50 degrees
Element x y z (fractional)
Ce 0.000 0.000 0.000
Ce 0.182 0.682 0.500
Ce 0.372 0.372 0.000
Ga 0.544 0.544 0.000
Ga 0.750 0.250 0.500
Ga 0.827 0.827 0.000
Si 0.620 0.120 0.500

=====

(2)
VASP calculation (PBE) on a geometry-optimized Cd2SbAs structure.

Output
VASP energy: -2.457 eV per atom
SG: P4/mmm, No. 123
polymorph energy (0 for the lowest one): 159 meV/atom

Cell lengths 3.253, 3.253, 8.979 Å; angles 90.00, 90.00, 90.00 degrees
Element x y z (fractional)
Cd 0.000 0.000 0.230
Cd 0.000 0.000 0.770
Sb 0.500 0.500 0.500
As 0.500 0.500 0.000

=====

(3)
VASP calculation (PBE) on a geometry-optimized La2PrGeN4 structure.

Output
VASP energy: -7.469 eV per atom
SG: Cmcm, No. 63

Cell lengths 6.203, 6.203, 12.308 Å; angles 90.00, 90.00, 145.26 degrees
Element x y z (fractional)
La 0.130 0.870 0.546
La 0.130 0.870 0.954
La 0.870 0.130 0.046
La 0.870 0.130 0.454
Pr 0.398 0.602 0.750
Pr 0.602 0.398 0.250
Ge 0.332 0.668 0.250
Ge 0.668 0.332 0.750
N 0.082 0.918 0.750
N 0.224 0.776 0.135
N 0.224 0.776 0.365
N 0.500 0.500 0.000
N 0.500 0.500 0.500
N 0.776 0.224 0.635
N 0.776 0.224 0.865
N 0.918 0.082 0.250

=====

In eV/atom, the formation energy from raw total energies values for the records above are, in order, -0.560; 0.194; -0.900.